1.
A plane-wave DFT calculation with PBE was carried out for Mn2CdBr6 after structural relaxation.

Properties
offset from the most stable computed form = 49 meV per atom
crystal system = monoclinic
size of the total moment = 10.0 μB/f.u.

Cell: 13.488 12.218 7.199 Å, 90.00 101.57 90.00°
Space group C2/c (No. 15)
Asymmetric unit:
Mn: 0.194 0.084 0.316
Cd: 0.000 0.389 0.250
Br: 0.113 0.423 0.623
Br: 0.130 0.082 0.620
Br: 0.130 0.250 0.128

=====

2.
A plane-wave DFT calculation with PBE was carried out for MnCdBr6 after structural relaxation.

Properties
crystal system = monoclinic
size of the total moment = 2.9 μB/f.u.

Cell: 6.686 12.297 6.654 Å, 90.00 110.57 90.00°
Space group C2/m (No. 12)
Asymmetric unit:
Mn: 0.000 0.000 0.000
Cd: 0.000 0.500 0.500
Br: 0.222 0.000 0.781
Br: 0.227 0.145 0.231

=====

3.
A plane-wave DFT calculation with PBE was carried out for Mn3CdBr after structural relaxation.

Properties
offset from the most stable computed form = 45 meV per atom
crystal system = cubic
size of the total moment = 14.0 μB/f.u.

Cell: 5.195 5.195 5.195 Å, 90.00 90.00 90.00°
Space group Pm-3m (No. 221)
Asymmetric unit:
Mn: 0.000 0.000 0.500
Cd: 0.000 0.000 0.000
Br: 0.500 0.500 0.500

=====

Sequential uncorrected formation energy output: -6.8, -4.5, 5.0 eV/f.u.
Sequential D(E_F) output: 0.00, 0.59, 0.99 states/eV per cell